# 1
Compound: Ca2AlAu
Source: Alexandria via LeMat-Bulk
Functional: PBEsol
Structure: optimized geometry

abc: 4.4420 4.1971 11.0646
angles: 90.00 90.00 90.00
Atoms (fractional coordinates):
Ca  0.0000  0.0000  0.0000
Ca  0.0000  0.5000  0.5000
Ca  0.5000  0.0000  0.2961
Ca  0.5000  0.5000  0.7961
Al  0.0000  0.0000  0.7070
Al  0.0000  0.5000  0.2070
Au  0.5000  0.0000  0.5867
Au  0.5000  0.5000  0.0867

DFT formation energy = -0.4915 eV/atom
V = 206 Å³ per cell



# 2
Compound: Zn2InRe
Source: Alexandria via LeMat-Bulk
Functional: PBEsol
Structure: optimized geometry

abc: 2.7268 4.7217 4.8822
angles: 90.00 90.00 90.00
Atoms (fractional coordinates):
Zn  0.0000  0.0000  0.0000
Zn  0.5000  0.5000  0.1706
In  0.0000  0.5000  0.6700
Re  0.5000  0.0000  0.4763

DFT formation energy = 0.3096 eV/atom
V = 63 Å³ per cell



# 3
Compound: LiTa2Se
Source: Alexandria via LeMat-Bulk
Functional: PBEsol
Structure: optimized geometry

abc: 3.3332 4.3631 4.4509
angles: 90.00 90.00 90.00
Atoms (fractional coordinates):
Li  0.0000  0.0000  0.0000
Ta  0.0000  0.5000  0.5000
Ta  0.5000  0.0000  0.5000
Se  0.5000  0.5000  0.0000

uncorrected energy = -30.35 eV per cell
V = 65 Å³ per cell